No. 1
# Pr5InRu2

A relaxed Pr5InRu2 crystal (GGA-PBE, Alexandria via LeMat-Bulk).

The space group is I4/mcm (No. 140) and the conventional cell measures 8.042, 8.042 and 14.135 Å, with angles of 90.00, 90.00 and 90.00 degrees. The inequivalent atoms are Pr at (0.000, 0.000, 0.000), Pr at (0.161, 0.339, 0.132), In at (0.000, 0.000, 0.250) and Ru at (0.141, 0.359, 0.500).

The energy relative to the elements comes out at -267 meV/atom. The calculation puts the density of states at the Fermi level at 32.6 states/eV per cell.

=====

No. 2
# Pr2InRu

A relaxed Pr2InRu crystal (GGA-PBE, Alexandria via LeMat-Bulk).

The space group is Fm-3m (No. 225) and the conventional cell measures 7.454, 7.454 and 7.454 Å, with angles of 90.00, 90.00 and 90.00 degrees. The inequivalent atoms are Pr at (0.250, 0.250, 0.250), In at (0.000, 0.000, 0.000) and Ru at (0.000, 0.000, 0.500).

The energy relative to the elements comes out at -171 meV/atom. For the offset from the most stable computed form, the calculation gives 0.099 eV/atom. The calculation puts the density of states at the Fermi level at 11.8 states/eV per cell.

=====

No. 3
# Pr6InRu2

A relaxed Pr6InRu2 crystal (GGA-PBE, Alexandria via LeMat-Bulk).

The space group is C2/m (No. 12) and the conventional cell measures 11.511, 4.226 and 12.123 Å, with angles of 90.00, 99.78 and 90.00 degrees. The inequivalent atoms are Pr at (0.030, 0.000, 0.280), Pr at (0.155, 0.500, 0.575), Pr at (0.214, 0.500, 0.119), In at (0.000, 0.000, 0.000) and Ru at (0.189, 0.500, 0.338).

The energy relative to the elements comes out at -152 meV/atom. For the offset from the most stable computed form, the calculation gives 0.103 eV/atom. The calculation puts the density of states at the Fermi level at 14.6 states/eV per cell.

=====

No. 4
# Pr12In3Ru5

A relaxed Pr12In3Ru5 crystal (GGA-PBE, Alexandria via LeMat-Bulk).

The space group is Ia-3d (No. 230) and the conventional cell measures 17.498, 17.498 and 17.498 Å, with angles of 90.00, 90.00 and 90.00 degrees. The inequivalent atoms are Pr at (0.027, 0.058, 0.649), In at (0.000, 0.250, 0.125), Ru at (0.000, 0.000, 0.000) and Ru at (0.000, 0.250, 0.375).

The energy relative to the elements comes out at 48 meV/atom. The calculation puts the density of states at the Fermi level at 81.9 states/eV per cell.

=====

No. 5
# Pr6InRu2

A relaxed Pr6InRu2 crystal (GGA-PBE, Alexandria via LeMat-Bulk).

The space group is Immm (No. 71) and the conventional cell measures 9.754, 10.005 and 10.782 Å, with angles of 90.00, 90.00 and 90.00 degrees. The inequivalent atoms are Pr at (0.000, 0.203, 0.237), Pr at (0.187, 0.500, 0.172), Pr at (0.213, 0.317, 0.500), In at (0.000, 0.000, 0.000), In at (0.000, 0.000, 0.500), Ru at (0.000, 0.321, 0.000) and Ru at (0.000, 0.500, 0.376).

The energy relative to the elements comes out at -256 meV/atom. For the offset from the most stable computed form, the calculation gives 0.000 eV/atom. The calculation puts the density of states at the Fermi level at 29.1 states/eV per cell.

=====

No. 6
# Pr3InRu

A relaxed Pr3InRu crystal (GGA-PBE, Alexandria via LeMat-Bulk).

The space group is Fmmm (No. 69) and the conventional cell measures 6.845, 10.093 and 16.446 Å, with angles of 90.00, 90.00 and 90.00 degrees. The inequivalent atoms are Pr at (0.000, 0.000, 0.201), Pr at (0.000, 0.195, 0.391), In at (0.204, 0.000, 0.000) and Ru at (0.250, 0.250, 0.250).

The energy relative to the elements comes out at -297 meV/atom. For the offset from the most stable computed form, the calculation gives 0.000 eV/atom. The calculation puts the density of states at the Fermi level at 26.4 states/eV per cell.

=====

No. 7
# Pr4In12Ru

A relaxed Pr4In12Ru crystal (GGA-PBE, Alexandria via LeMat-Bulk).

The space group is Im-3m (No. 229) and the conventional cell measures 9.546, 9.546 and 9.546 Å, with angles of 90.00, 90.00 and 90.00 degrees. The inequivalent atoms are Pr at (0.250, 0.250, 0.250), In at (0.000, 0.000, 0.280), In at (0.000, 0.250, 0.500) and Ru at (0.000, 0.000, 0.000).

The energy relative to the elements comes out at -426 meV/atom. The calculation puts the density of states at the Fermi level at 27.7 states/eV per cell.

=====

No. 8
# PrInRu

A relaxed PrInRu crystal (GGA-PBE, Alexandria via LeMat-Bulk).

The space group is I4mm (No. 107) and the conventional cell measures 3.439, 3.439 and 11.619 Å, with angles of 90.00, 90.00 and 90.00 degrees. The inequivalent atoms are Pr at (0.000, 0.000, 0.000), In at (0.000, 0.000, 0.280) and Ru at (0.000, 0.000, 0.658).

The energy relative to the elements comes out at -154 meV/atom. The calculation puts the density of states at the Fermi level at 2.9 states/eV per cell.

=====

No. 9
# PrInRu

A relaxed PrInRu crystal (GGA-PBE, Alexandria via LeMat-Bulk).

The space group is P-6m2 (No. 187) and the conventional cell measures 4.6681, 4.6681 and 3.8339 Å, with angles of 90.00, 90.00 and 120.00 degrees. The inequivalent atoms are Pr at (0.0000, 0.0000, 0.0000), In at (0.6667, 0.3333, 0.5000) and Ru at (0.3333, 0.6667, 0.5000).

The energy relative to the elements comes out at -107 meV/atom. The calculation puts the density of states at the Fermi level at 2.7 states/eV per cell.

=====

No. 10
# Pr12In6Ru

A relaxed Pr12In6Ru crystal (GGA-PBE, Alexandria via LeMat-Bulk).

The space group is R-3 (No. 148, hexagonal axes) and the conventional cell measures 12.5790, 12.5790 and 13.7563 Å, with angles of 90.00, 90.00 and 120.00 degrees. The inequivalent atoms are Pr at (0.0390, 0.8457, 0.3906), Pr at (0.0420, 0.1904, 0.8708), In at (0.0045, 0.6013, 0.2631) and Ru at (0.0000, 0.0000, 0.0000).

The energy relative to the elements comes out at -214 meV/atom. The calculation puts the density of states at the Fermi level at 61.6 states/eV per cell.

=====

No. 11
# Pr5In2Ru

A relaxed Pr5In2Ru crystal (GGA-PBE, Alexandria via LeMat-Bulk).

The space group is Pbam (No. 55) and the conventional cell measures 8.108, 12.540 and 4.854 Å, with angles of 90.00, 90.00 and 90.00 degrees. The inequivalent atoms are Pr at (0.000, 0.000, 0.000), Pr at (0.137, 0.298, 0.000), Pr at (0.184, 0.570, 0.500), In at (0.075, 0.832, 0.500) and Ru at (0.000, 0.500, 0.000).

The energy relative to the elements comes out at -333 meV/atom. For the offset from the most stable computed form, the calculation gives 0.000 eV/atom. The calculation puts the density of states at the Fermi level at 15.2 states/eV per cell.

=====

No. 12
# Pr2InRu

A relaxed Pr2InRu crystal (GGA-PBE, Alexandria via LeMat-Bulk).

The space group is R-3m (No. 166, hexagonal axes) and the conventional cell measures 4.0039, 4.0039 and 25.4984 Å, with angles of 90.00, 90.00 and 120.00 degrees. The inequivalent atoms are Pr at (0.0000, 0.0000, 0.2322), In at (0.0000, 0.0000, 0.0000) and Ru at (0.0000, 0.0000, 0.5000).

The energy relative to the elements comes out at -116 meV/atom. For the offset from the most stable computed form, the calculation gives 0.154 eV/atom. The calculation puts the density of states at the Fermi level at 10.6 states/eV per cell.

=====

No. 13
# Pr2InRu

A relaxed Pr2InRu crystal (GGA-PBE, Alexandria via LeMat-Bulk).

The space group is Immm (No. 71) and the conventional cell measures 4.238, 5.306 and 10.458 Å, with angles of 90.00, 90.00 and 90.00 degrees. The inequivalent atoms are Pr at (0.000, 0.000, 0.171), In at (0.000, 0.000, 0.500) and Ru at (0.000, 0.500, 0.500).

The energy relative to the elements comes out at -242 meV/atom. For the offset from the most stable computed form, the calculation gives 0.027 eV/atom. The calculation puts the density of states at the Fermi level at 4.3 states/eV per cell.

=====

No. 14
# Pr2InRu

A relaxed Pr2InRu crystal (GGA-PBE, Alexandria via LeMat-Bulk).

The space group is P4/mmm (No. 123) and the conventional cell measures 3.482, 3.482 and 8.724 Å, with angles of 90.00, 90.00 and 90.00 degrees. The inequivalent atoms are Pr at (0.000, 0.000, 0.204), In at (0.500, 0.500, 0.500) and Ru at (0.500, 0.500, 0.000).

The energy relative to the elements comes out at -270 meV/atom. For the offset from the most stable computed form, the calculation gives 0.000 eV/atom. The calculation puts the density of states at the Fermi level at 4.1 states/eV per cell.

=====

No. 15
# Pr7InRu2

A relaxed Pr7InRu2 crystal (GGA-PBE, Alexandria via LeMat-Bulk).

The space group is Cmmm (No. 65) and the conventional cell measures 9.324, 14.056 and 5.333 Å, with angles of 90.00, 90.00 and 90.00 degrees. The inequivalent atoms are Pr at (0.000, 0.000, 0.000), Pr at (0.000, 0.220, 0.500), Pr at (0.183, 0.371, 0.000), In at (0.000, 0.500, 0.500) and Ru at (0.000, 0.197, 0.000).

The energy relative to the elements comes out at -36 meV/atom. The calculation puts the density of states at the Fermi level at 21.4 states/eV per cell.

=====

No. 16
# Pr8In2Ru

A relaxed Pr8In2Ru crystal (GGA-PBE, Alexandria via LeMat-Bulk).

The space group is C2/m (No. 12) and the conventional cell measures 17.952, 5.729 and 7.181 Å, with angles of 90.00, 112.02 and 90.00 degrees. The inequivalent atoms are Pr at (0.005, 0.000, 0.264), Pr at (0.108, 0.500, 0.899), Pr at (0.138, 0.500, 0.401), Pr at (0.198, 0.000, 0.734), In at (0.183, 0.000, 0.189) and Ru at (0.000, 0.500, 0.500).

The energy relative to the elements comes out at -224 meV/atom. The calculation puts the density of states at the Fermi level at 23.7 states/eV per cell.

=====

No. 17
# TbPrInRu

A relaxed TbPrInRu crystal (GGA-PBE, Alexandria via LeMat-Bulk).

The space group is F-43m (No. 216) and the conventional cell measures 7.325, 7.325 and 7.325 Å, with angles of 90.00, 90.00 and 90.00 degrees. The inequivalent atoms are Tb at (0.000, 0.000, 0.000), Pr at (0.000, 0.000, 0.500), In at (0.250, 0.250, 0.750) and Ru at (0.250, 0.250, 0.250).

The energy relative to the elements comes out at -236 meV/atom. The calculation puts the density of states at the Fermi level at 10.0 states/eV per cell.

=====

No. 18
# PrTmInRu

A relaxed PrTmInRu crystal (GGA-PBE, Alexandria via LeMat-Bulk).

The space group is F-43m (No. 216) and the conventional cell measures 7.264, 7.264 and 7.264 Å, with angles of 90.00, 90.00 and 90.00 degrees. The inequivalent atoms are Pr at (0.000, 0.000, 0.000), Tm at (0.000, 0.000, 0.500), In at (0.250, 0.250, 0.250) and Ru at (0.250, 0.250, 0.750).

The energy relative to the elements comes out at -251 meV/atom. The calculation puts the density of states at the Fermi level at 9.9 states/eV per cell.

=====

No. 19
# Pr2InS6

A relaxed Pr2InS6 crystal (GGA-PBE, Alexandria via LeMat-Bulk).

The space group is P2_1/c (No. 14) and the conventional cell measures 7.126, 7.935 and 10.678 Å, with angles of 90.00, 131.77 and 90.00 degrees. The inequivalent atoms are Pr at (0.235, 0.124, 0.248), In at (0.500, 0.000, 0.000), S at (0.085, 0.173, 0.902), S at (0.236, 0.698, 0.898) and S at (0.418, 0.066, 0.741).

For the uncorrected formation energy, the calculation gives -9.10 eV per formula unit. The calculation puts the density of states at the Fermi level at 10.0 states/eV per cell.